[1]
This record from Alexandria describes a geometry-optimized CdSe2F structure. The functional is GGA-PBEsol.

Lattice parameters (Å, degrees): 3.7259 3.7259 21.3287 90.00 90.00 90.00
Last column: nearest neighbours and their distance in Å.
Space group I-42d (No. 122)
Symmetry-distinct sites (fractional):
Cd (0.0000, 0.0000, 0.0000) [4 per cell]  4 F 2.63
Se (0.2498, 0.2500, 0.1250) [8 per cell]  4 Se 2.63-2.64
F (0.0000, 0.0000, 0.5000) [4 per cell]  4 Cd 2.63

Energy relative to the elements, uncorrected, meV per atom: -585
Raw total energy, eV per cell: -52.67



[2]
This record from Alexandria describes a geometry-optimized Cd3SiF structure. The functional is GGA-PBEsol.

Lattice parameters (Å, degrees): 5.0232 5.0232 5.0232 90.00 90.00 90.00
Last column: nearest neighbours and their distance in Å.
Space group Pm-3m (No. 221)
Symmetry-distinct sites (fractional):
Cd (0.0000, 0.0000, 0.5000) [3 per cell]  2 Si 2.51
Si (0.0000, 0.0000, 0.0000) [1 per cell]  6 Cd 2.51
F (0.5000, 0.5000, 0.5000) [1 per cell]  12 Cd 3.55

Energy relative to the elements, uncorrected, meV per atom: -49
Raw total energy, eV per cell: -11.51



[3]
This record from Alexandria describes a geometry-optimized CdSnF6 structure. The functional is GGA-PBEsol.

Lattice parameters (Å, degrees): 5.3245 5.3245 14.7908 90.00 90.00 120.00
Last column: nearest neighbours and their distance in Å.
Space group R-3 (No. 148, hexagonal axes)
Symmetry-distinct sites (fractional):
Cd (0.0000, 0.0000, 0.0000) [3 per cell]  6 F 2.23
Sn (0.0000, 0.0000, 0.5000) [3 per cell]  6 F 1.99
F (0.0159, 0.3112, 0.5781) [18 per cell]  1 Sn 1.99

Energy relative to the elements, uncorrected, meV per atom: -2381
Raw total energy, eV per cell: -108.22



[4]
This record from Alexandria describes a geometry-optimized Ta2ZnCdF structure. The functional is GGA-PBEsol.

Lattice parameters (Å, degrees): 4.1673 4.1673 4.6925 90.00 90.00 90.00
Last column: nearest neighbours and their distance in Å.
Space group P4/mmm (No. 123)
Symmetry-distinct sites (fractional):
Ta (0.0000, 0.5000, 0.0000) [2 per cell]  2 F 2.08
Zn (0.0000, 0.0000, 0.5000) [1 per cell]  2 F 2.35
Cd (0.5000, 0.5000, 0.5000) [1 per cell]  4 Zn 2.95, 8 Ta 3.14
F (0.0000, 0.0000, 0.0000) [1 per cell]  4 Ta 2.08

Energy relative to the elements, uncorrected, meV per atom: 175
Raw total energy, eV per cell: -28.94



[5]
This record from Alexandria describes a geometry-optimized TlCdTc2F structure. The functional is GGA-PBEsol.

Lattice parameters (Å, degrees): 5.1022 5.1022 4.1505 90.00 90.00 90.00
Last column: nearest neighbours and their distance in Å.
Space group P4/mmm (No. 123)
Symmetry-distinct sites (fractional):
Tl (0.0000, 0.0000, 0.0000) [1 per cell]  8 Tc 3.29, 4 F 3.61
Cd (0.5000, 0.5000, 0.5000) [1 per cell]  2 F 2.08
Tc (0.0000, 0.5000, 0.5000) [2 per cell]  2 Cd 2.55
F (0.5000, 0.5000, 0.0000) [1 per cell]  2 Cd 2.08

Energy relative to the elements, uncorrected, meV per atom: 1367
Raw total energy, eV per cell: -21.45



[6]
This record from Alexandria describes a geometry-optimized CdTcW2F structure. The functional is GGA-PBEsol.

Lattice parameters (Å, degrees): 4.9844 4.9844 3.7427 90.00 90.00 90.00
Last column: nearest neighbours and their distance in Å.
Space group P4/mmm (No. 123)
Symmetry-distinct sites (fractional):
Cd (0.0000, 0.0000, 0.0000) [1 per cell]  2 F 1.87
Tc (0.5000, 0.5000, 0.5000) [1 per cell]  8 W 3.12
W (0.0000, 0.5000, 0.0000) [2 per cell]  2 Cd 2.49
F (0.0000, 0.0000, 0.5000) [1 per cell]  2 Cd 1.87

Energy relative to the elements, uncorrected, meV per atom: 2352
Raw total energy, eV per cell: -30.25